[1]
Density functional theory data (GGA-PBE) for a relaxed structure of TlAg2P.

POSCAR file:
```
TlAg2P
1.0
4.350 0.000 0.000
0.000 4.350 0.000
0.000 0.000 4.198
Tl Ag P
1 2 1
direct
0.000 0.000 0.000
0.000 0.500 0.500
0.500 0.000 0.500
0.500 0.500 0.000
```

[2]
Density functional theory data (GGA-PBE) for a relaxed structure of TlAg2P2.

POSCAR file:
```
TlAg2P2
1.0
-1.905 1.905 6.872
1.905 -1.905 6.872
1.905 1.905 -6.872
Tl Ag P
1 2 2
direct
0.000 0.000 0.000
0.393 0.393 0.000
0.607 0.607 0.000
0.250 0.750 0.500
0.750 0.250 0.500
```

[3]
Density functional theory data (GGA-PBE) for a relaxed structure of TlAg2P.

POSCAR file:
```
TlAg2P
1.0
4.180 -1.599 0.000
4.180 1.599 0.000
-1.392 0.000 6.322
Tl Ag P
1 2 1
direct
0.000 0.000 0.000
0.240 0.240 0.690
0.760 0.760 0.310
0.500 0.500 0.500
```

Number 1: calculated density 9.4 g/cm3, electronic total energy -0.223 Ry/atom. Number 2: calculated density 8.0 g/cm3, electronic total energy -0.252 Ry/atom. Number 3: calculated density 8.9 g/cm3, electronic total energy -0.229 Ry/atom.